Arrangement w

DFT (GGA-PBE) results for a relaxed structure of Pm2CdHg8.

abc: 4.8744 6.8456 9.2540
angles: 108.11 105.27 90.00
Fractional positions:
Hg  0.9818  0.2736  0.9637
Hg  0.3578  0.1224  0.7156
Hg  0.6422  0.8776  0.2844
Hg  0.8345  0.8157  0.6690
Hg  0.6154  0.4137  0.2308
Hg  0.3846  0.5863  0.7692
Hg  0.0182  0.7264  0.0363
Hg  0.1655  0.1843  0.3310
Pm  0.2104  0.6952  0.4209
Pm  0.7896  0.3048  0.5791
Cd  0.5000  0.0000  0.0000

Volume (Å³/cell): 282.0
Space-group type: C2/m


Arrangement x

DFT (GGA-PBE) results for a relaxed structure of Pm2CdHg8.

abc: 4.9139 4.9139 11.7957
angles: 90.00 90.00 90.00
Fractional positions:
Hg  0.5000  0.5000  0.3243
Hg  0.0000  0.5000  0.8589
Hg  0.0000  0.5000  0.5000
Hg  0.0000  0.5000  0.1411
Hg  0.5000  0.0000  0.1411
Hg  0.5000  0.5000  0.6757
Hg  0.5000  0.0000  0.8589
Hg  0.5000  0.0000  0.5000
Pm  0.0000  0.0000  0.6862
Pm  0.0000  0.0000  0.3138
Cd  0.0000  0.0000  0.0000

Volume (Å³/cell): 284.8
Space-group type: P4/mmm


Which one is most stable, and which one is least stable? arrangement x is the most stable of them, while arrangement w is the least stable.


Arrangement w

DFT (GGA-PBE) results for a relaxed structure of PmCd2Hg2.

abc: 4.9263 4.9263 6.5428
angles: 67.89 67.89 60.00
Fractional positions:
Cd  0.2032  0.7032  0.3905
Cd  0.7968  0.2968  0.6095
Hg  0.4101  0.9101  0.7698
Hg  0.5899  0.0899  0.2302
Pm  0.0000  0.5000  0.0000

Volume (Å³/cell): 123.8
Space-group type: R-3m


Arrangement x

DFT (GGA-PBE) results for a relaxed structure of PmCd2Hg2.

abc: 3.6312 5.0807 13.4479
angles: 90.08 90.00 90.00
Fractional positions:
Cd  0.2500  0.2494  0.5320
Cd  0.7500  0.2491  0.1412
Cd  0.2500  0.7509  0.8588
Cd  0.7500  0.7506  0.4680
Pm  0.7500  0.2501  0.7474
Pm  0.2500  0.7499  0.2526
Hg  0.2500  0.7493  0.6482
Hg  0.2500  0.2509  0.9572
Hg  0.7500  0.2507  0.3518
Hg  0.7500  0.7491  0.0428

Volume (Å³/cell): 248.1
Space-group type: P2_1/m


Which one is most stable, and which one is least stable? arrangement w is the most stable of them, while arrangement x is the least stable.


Arrangement w

DFT (GGA-PBE) results for a relaxed structure of PmCd3Hg6.

abc: 8.6165 8.6165 8.6165
angles: 107.52 107.52 107.52
Fractional positions:
Hg  0.6375  0.1877  0.4565
Hg  0.1877  0.4565  0.6375
Hg  0.1376  0.9565  0.6877
Hg  0.0435  0.3123  0.8624
Hg  0.4565  0.6375  0.1877
Hg  0.3123  0.8624  0.0435
Hg  0.8624  0.0435  0.3123
Hg  0.8123  0.5435  0.3625
Hg  0.6877  0.1376  0.9565
Hg  0.3625  0.8123  0.5435
Hg  0.5435  0.3625  0.8123
Hg  0.9565  0.6877  0.1376
Cd  0.2500  0.0774  0.4227
Cd  0.9226  0.5773  0.7500
Cd  0.4227  0.2500  0.0774
Cd  0.5773  0.7500  0.9226
Cd  0.7500  0.9226  0.5773
Cd  0.0774  0.4227  0.2500
Pm  0.5000  0.5000  0.5000
Pm  0.0000  0.0000  0.0000

Volume (Å³/cell): 525.1
Space-group type: R-3c


Arrangement x

DFT (GGA-PBE) results for a relaxed structure of PmCd3Hg6.

abc: 4.9337 12.5955 12.7319
angles: 141.91 90.00 90.00
Fractional positions:
Hg  0.7500  0.1727  0.5066
Hg  0.2500  0.6195  0.8734
Hg  0.7500  0.5441  0.6562
Hg  0.7500  0.9681  0.8908
Hg  0.7500  0.8814  0.1017
Hg  0.2500  0.4559  0.3438
Hg  0.2500  0.1186  0.8983
Hg  0.2500  0.8273  0.4934
Hg  0.7500  0.7472  0.2982
Hg  0.2500  0.2528  0.7018
Hg  0.2500  0.0319  0.1092
Hg  0.7500  0.3805  0.1266
Cd  0.2500  0.4837  0.0698
Cd  0.2500  0.3048  0.4833
Cd  0.7500  0.6952  0.5167
Cd  0.7500  0.5163  0.9302
Cd  0.7500  0.2612  0.2730
Cd  0.2500  0.7388  0.7270
Pm  0.7500  0.1040  0.7197
Pm  0.2500  0.8960  0.2803

Volume (Å³/cell): 488.1
Space-group type: P2_1/m


Which one is most stable, and which one is least stable? arrangement x is the most stable of them, while arrangement w is the least stable.